Record 1
# PBE-GGA LiY, relaxed
data_LiY
_chemical_formula_sum 'Li4 Y4'
_cell_length_a 6.061
_cell_length_b 6.061
_cell_length_c 6.061
_cell_angle_alpha 90.00
_cell_angle_beta 90.00
_cell_angle_gamma 90.00
_space_group_name_H-M_alt 'F m -3 m'
_space_group_IT_number 225
_space_group_name_Hall '-F 4 2 3'
loop_
_atom_site_label
_atom_site_type_symbol
_atom_site_fract_x
_atom_site_fract_y
_atom_site_fract_z
Li1 Li 0.000 0.000 0.000
Y1 Y 0.000 0.000 0.500
# M_tot ... 0.0 μB/cell
# ΔE to the lowest computed polymorph ... 418 meV/atom
# Energy relative to the elements ... 0.4742 eV per atom

Record 2
# PBE-GGA LiY, relaxed
data_LiY
_chemical_formula_sum 'Li16 Y16'
_cell_length_a 7.692
_cell_length_b 9.581
_cell_length_c 11.580
_cell_angle_alpha 90.00
_cell_angle_beta 90.00
_cell_angle_gamma 90.00
_space_group_name_H-M_alt 'F d d d'
_space_group_IT_number 70
loop_
_space_group_symop_operation_xyz
'x,y,z'
'-x,-y,-z'
'-x+1/4,-y+1/4,z'
'x+1/4,y+1/4,-z'
'x,-y+1/4,-z+1/4'
'-x,y+1/4,z+1/4'
'-x+1/4,y,-z+1/4'
'x+1/4,-y,z+1/4'
'x,y+1/2,z+1/2'
'-x,-y+1/2,-z+1/2'
'-x+1/4,-y+3/4,z+1/2'
'x+1/4,y+3/4,-z+1/2'
'x,-y+3/4,-z+3/4'
'-x,y+3/4,z+3/4'
'-x+1/4,y+1/2,-z+3/4'
'x+1/4,-y+1/2,z+3/4'
'x+1/2,y,z+1/2'
'-x+1/2,-y,-z+1/2'
'-x+3/4,-y+1/4,z+1/2'
'x+3/4,y+1/4,-z+1/2'
'x+1/2,-y+1/4,-z+3/4'
'-x+1/2,y+1/4,z+3/4'
'-x+3/4,y,-z+3/4'
'x+3/4,-y,z+3/4'
'x+1/2,y+1/2,z'
'-x+1/2,-y+1/2,-z'
'-x+3/4,-y+3/4,z'
'x+3/4,y+3/4,-z'
'x+1/2,-y+3/4,-z+1/4'
'-x+1/2,y+3/4,z+1/4'
'-x+3/4,y+1/2,-z+1/4'
'x+3/4,-y+1/2,z+1/4'
loop_
_atom_site_label
_atom_site_type_symbol
_atom_site_fract_x
_atom_site_fract_y
_atom_site_fract_z
Li1 Li 0.035 0.375 0.375
Y1 Y 0.125 0.312 0.625
# M_tot ... 0.0 μB/cell
# ΔE to the lowest computed polymorph ... 218 meV/atom
# Energy relative to the elements ... 0.2744 eV per atom